(1)
## ThAl4Au4 (GGA-PBE)

Data for crystalline ThAl4Au4 at its relaxed geometry.

Cell and atoms, written as CIF:
```
data_ThAl4Au4
_chemical_formula_sum 'Th2 Al8 Au8'
_cell_length_a 6.254
_cell_length_b 6.254
_cell_length_c 8.877
_cell_angle_alpha 90.00
_cell_angle_beta 90.00
_cell_angle_gamma 90.00
_space_group_name_H-M_alt 'P 1'
_space_group_IT_number 1
_space_group_name_Hall 'P 1'
loop_
_atom_site_label
_atom_site_fract_x
_atom_site_fract_y
_atom_site_fract_z
Au1 0.000 0.726 0.694
Au2 0.226 0.500 0.194
Au3 0.274 0.000 0.306
Au4 0.500 0.774 0.806
Au5 0.726 0.000 0.306
Au6 0.774 0.500 0.194
Au7 0.500 0.226 0.806
Au8 0.000 0.274 0.694
Al1 0.500 0.221 0.098
Al2 0.000 0.721 0.402
Al3 0.500 0.779 0.098
Al4 0.279 0.000 0.598
Al5 0.779 0.500 0.902
Al6 0.221 0.500 0.902
Al7 0.721 0.000 0.598
Al8 0.000 0.279 0.402
Th1 0.500 0.500 0.500
Th2 0.000 0.000 0.000
```

VASP energy (eV per atom): -4.444
SG: P4_2/nmc (137)
Energy of formation (kJ/mol of atoms): -48.2

(2)
## ThAl2Au3 (GGA-PBE)

Data for crystalline ThAl2Au3 at its relaxed geometry.

Cell and atoms, written as CIF:
```
data_ThAl2Au3
_chemical_formula_sum 'Th2 Al4 Au6'
_cell_length_a 4.684
_cell_length_b 9.422
_cell_length_c 8.689
_cell_angle_alpha 134.71
_cell_angle_beta 105.64
_cell_angle_gamma 90.00
_space_group_name_H-M_alt 'P 1'
_space_group_IT_number 1
_space_group_name_Hall 'P 1'
loop_
_atom_site_label
_atom_site_fract_x
_atom_site_fract_y
_atom_site_fract_z
Au1 0.194 0.995 0.389
Au2 0.806 0.505 0.611
Au3 0.500 0.250 0.000
Au4 0.194 0.495 0.389
Au5 0.806 0.005 0.611
Au6 0.500 0.750 0.000
Al1 0.300 0.877 0.599
Al2 0.700 0.123 0.401
Al3 0.300 0.377 0.599
Al4 0.700 0.623 0.401
Th1 0.000 0.000 0.000
Th2 0.000 0.500 0.000
```

VASP energy (eV per atom): -4.599
SG: C2/m (12)
Energy of formation (kJ/mol of atoms): -45.9
Energy above the lowest structure with this stoichiometry (meV per atom): 98.0

(3)
## Th3Al5Au6 (GGA-PBE)

Data for crystalline Th3Al5Au6 at its relaxed geometry.

Cell and atoms, written as CIF:
```
data_Th3Al5Au6
_chemical_formula_sum 'Th6 Al10 Au12'
_cell_length_a 4.464
_cell_length_b 9.576
_cell_length_c 13.519
_cell_angle_alpha 90.00
_cell_angle_beta 90.00
_cell_angle_gamma 90.00
_space_group_name_H-M_alt 'P 1'
_space_group_IT_number 1
_space_group_name_Hall 'P 1'
loop_
_atom_site_label
_atom_site_fract_x
_atom_site_fract_y
_atom_site_fract_z
Au1 0.000 0.037 0.500
Au2 0.000 0.621 0.338
Au3 0.500 0.576 0.000
Au4 0.500 0.379 0.162
Au5 0.500 0.031 0.355
Au6 0.500 0.031 0.645
Au7 0.500 0.963 0.000
Au8 0.000 0.969 0.855
Au9 0.500 0.379 0.838
Au10 0.000 0.424 0.500
Au11 0.000 0.621 0.662
Au12 0.000 0.969 0.145
Al1 0.000 0.522 0.135
Al2 0.000 0.888 0.336
Al3 0.500 0.478 0.635
Al4 0.500 0.112 0.836
Al5 0.500 0.478 0.365
Al6 0.000 0.522 0.865
Al7 0.000 0.759 0.000
Al8 0.500 0.241 0.500
Al9 0.500 0.112 0.164
Al10 0.000 0.888 0.664
Th1 0.000 0.253 0.695
Th2 0.000 0.237 0.000
Th3 0.000 0.253 0.305
Th4 0.500 0.747 0.805
Th5 0.500 0.747 0.195
Th6 0.500 0.763 0.500
```

VASP energy (eV per atom): -4.969
SG: Pmmn (59)
Energy of formation (kJ/mol of atoms): -61.5